! PBE-GGA CdCoSbPd, optimized geometry; values from VASP
&SYSTEM
  ibrav = 0, nat = 4, ntyp = 4
/
ATOMIC_SPECIES
Cd 112.41 Cd.upf
Sb 121.76 Sb.upf
Co 58.93 Co.upf
Pd 106.42 Pd.upf
ATOMIC_POSITIONS crystal
Cd 0.5000 0.5000 0.5000
Sb 0.0000 0.0000 0.0000
Co 0.7500 0.7500 0.7500
Pd 0.2500 0.2500 0.2500
CELL_PARAMETERS angstrom
-3.6168 -2.6140 1.0410
-0.6972 -1.3274 4.3301
-3.4826 1.7592 2.4032
! ΔE to the lowest computed polymorph = 0.00 kJ per mole of atoms
! Symmetry = F-43m